(1)
A plane-wave DFT calculation with PBE-GGA was carried out for a relaxed Nd4ThZn5 crystal.

Properties
- crystal system = tetragonal
- space group = P4/mmm (123)
- DFT formation energy (eV per atom) = -0.278
- uncorrected energy (eV per atom) = -3.5645

Cell lengths 3.683, 3.683, 18.406 Å; angles 90.00, 90.00, 90.00 degrees
Element x y z (fractional)
Nd: 0.000 0.000 0.100
Nd: 0.000 0.000 0.301
Nd: 0.000 0.000 0.699
Nd: 0.000 0.000 0.900
Th: 0.000 0.000 0.500
Zn: 0.500 0.500 0.000
Zn: 0.500 0.500 0.200
Zn: 0.500 0.500 0.401
Zn: 0.500 0.500 0.599
Zn: 0.500 0.500 0.800

(2)
A plane-wave DFT calculation with PBE-GGA was carried out for a relaxed Pm3HoTm4 crystal.

Properties
- excess energy over the best structure of this formula in the dataset (meV per atom) = 0
- crystal system = orthorhombic
- space group = Pmn2_1 (31)
- DFT formation energy (eV per atom) = 0.017
- uncorrected energy (eV per atom) = -4.5722

Cell lengths 11.313, 7.263, 6.258 Å; angles 90.00, 90.00, 90.00 degrees
Element x y z (fractional)
Pm: 0.000 0.128 0.000
Pm: 0.250 0.127 0.335
Pm: 0.250 0.873 0.835
Pm: 0.500 0.872 0.500
Pm: 0.750 0.127 0.335
Pm: 0.750 0.873 0.835
Ho: 0.000 0.870 0.499
Ho: 0.500 0.130 0.999
Tm: 0.000 0.378 0.501
Tm: 0.000 0.621 0.001
Tm: 0.248 0.621 0.334
Tm: 0.252 0.379 0.834
Tm: 0.500 0.379 0.501
Tm: 0.500 0.622 0.001
Tm: 0.748 0.379 0.834
Tm: 0.752 0.621 0.334

(3)
A plane-wave DFT calculation with PBE-GGA was carried out for a relaxed Sm2GePd crystal.

Properties
- crystal system = monoclinic
- space group = P2_1/m (11)
- DFT formation energy (eV per atom) = -0.834
- uncorrected energy (eV per atom) = -5.6464

Cell lengths 5.964, 4.383, 8.034 Å; angles 90.00, 110.37, 90.00 degrees
Element x y z (fractional)
Sm: 0.223 0.250 0.417
Sm: 0.223 0.250 0.939
Sm: 0.777 0.750 0.061
Sm: 0.777 0.750 0.583
Ge: 0.326 0.750 0.705
Ge: 0.674 0.250 0.295
Pd: 0.356 0.750 0.211
Pd: 0.644 0.250 0.789

(4)
A plane-wave DFT calculation with PBE-GGA was carried out for a relaxed Al2CuSi2 crystal.

Properties
- excess energy over the best structure of this formula in the dataset (meV per atom) = 0
- crystal system = monoclinic
- formation energy without anion corrections (eV/atom) = 0.09
- space group = C2/c (15)
- uncorrected energy (eV per atom) = -4.3972

Cell lengths 5.887, 5.887, 5.713 Å; angles 92.40, 92.40, 52.38 degrees
Element x y z (fractional)
Al: 0.049 0.213 0.435
Al: 0.213 0.049 0.935
Al: 0.787 0.951 0.065
Al: 0.951 0.787 0.565
Cu: 0.276 0.724 0.250
Cu: 0.724 0.276 0.750
Si: 0.284 0.434 0.929
Si: 0.434 0.284 0.429
Si: 0.566 0.716 0.571
Si: 0.716 0.566 0.071

(5)
A plane-wave DFT calculation with PBE-GGA was carried out for a relaxed AlFePt2 crystal.

Properties
- crystal system = tetragonal
- space group = I-4m2 (119)
- DFT formation energy (eV per atom) = -0.533
- uncorrected energy (eV per atom) = -6.6046

Cell lengths 4.826, 4.826, 4.826 Å; angles 133.69, 133.69, 67.58 degrees
Element x y z (fractional)
Al: 0.000 0.000 0.000
Fe: 0.250 0.750 0.500
Pt: 0.500 0.500 0.000
Pt: 0.750 0.250 0.500

(6)
A plane-wave DFT calculation with PBE-GGA was carried out for a relaxed Sr4LiW crystal.

Properties
- crystal system = cubic
- space group = F-43m (216)
- DFT formation energy (eV per atom) = 1.238
- uncorrected energy (eV per atom) = -2.3610

Cell lengths 7.098, 7.098, 7.098 Å; angles 60.00, 60.00, 60.00 degrees
Element x y z (fractional)
Sr: 0.124 0.124 0.124
Sr: 0.124 0.124 0.627
Sr: 0.124 0.627 0.124
Sr: 0.627 0.124 0.124
Li: 0.500 0.500 0.500
W: 0.750 0.750 0.750

(7)
A plane-wave DFT calculation with PBE-GGA was carried out for a relaxed La8Os3PtCl4 crystal.

Properties
- crystal system = trigonal
- formation energy without anion corrections (eV/atom) = -1.09
- space group = R-3m (166)
- uncorrected energy (eV per atom) = -6.4940

Cell lengths 9.019, 9.019, 9.019 Å; angles 55.31, 55.31, 55.31 degrees
Element x y z (fractional)
La: 0.223 0.740 0.740
La: 0.236 0.236 0.236
La: 0.260 0.260 0.777
La: 0.260 0.777 0.260
La: 0.740 0.223 0.740
La: 0.740 0.740 0.223
La: 0.764 0.764 0.764
La: 0.777 0.260 0.260
Os: 0.000 0.000 0.500
Os: 0.000 0.500 0.000
Os: 0.500 0.000 0.000
Pt: 0.500 0.500 0.500
Cl: 0.000 0.000 0.000
Cl: 0.000 0.500 0.500
Cl: 0.500 0.000 0.500
Cl: 0.500 0.500 0.000

(8)
A plane-wave DFT calculation with PBE-GGA was carried out for a relaxed ScAgTe2F crystal.

Properties
- crystal system = tetragonal
- formation energy without anion corrections (eV/atom) = -0.56
- space group = P4/mmm (123)
- uncorrected energy (eV per atom) = -4.0245

Cell lengths 5.451, 5.451, 4.208 Å; angles 90.00, 90.00, 90.00 degrees
Element x y z (fractional)
Sc: 0.000 0.000 0.000
Ag: 0.500 0.500 0.500
Te: 0.000 0.500 0.500
Te: 0.500 0.000 0.500
F: 0.500 0.500 0.000

(9)
A plane-wave DFT calculation with PBE-GGA was carried out for a relaxed TaTe4Pb crystal.

Properties
- crystal system = cubic
- formation energy without anion corrections (eV/atom) = 0.98
- space group = F-43m (216)
- uncorrected energy (eV per atom) = -3.7059

Cell lengths 6.263, 6.263, 6.263 Å; angles 60.00, 60.00, 60.00 degrees
Element x y z (fractional)
Ta: 0.000 0.000 0.000
Te: 0.122 0.626 0.626
Te: 0.626 0.122 0.626
Te: 0.626 0.626 0.122
Te: 0.626 0.626 0.626
Pb: 0.250 0.250 0.250

(10)
A plane-wave DFT calculation with PBE-GGA was carried out for a relaxed NdSm2CuSe5 crystal.

Properties
- crystal system = orthorhombic
- formation energy without anion corrections (eV/atom) = -1.55
- space group = Cmc2_1 (36)
- uncorrected energy (eV per atom) = -5.5207

Cell lengths 9.295, 9.295, 12.077 Å; angles 90.00, 90.00, 154.73 degrees
Element x y z (fractional)
Nd: 0.194 0.806 0.500
Nd: 0.806 0.194 0.000
Sm: 0.105 0.895 0.173
Sm: 0.117 0.883 0.799
Sm: 0.883 0.117 0.299
Sm: 0.895 0.105 0.673
Cu: 0.437 0.563 0.945
Cu: 0.563 0.437 0.445
Se: 0.041 0.959 0.553
Se: 0.291 0.709 0.175
Se: 0.321 0.679 0.828
Se: 0.359 0.641 0.491
Se: 0.499 0.501 0.269
Se: 0.501 0.499 0.769
Se: 0.641 0.359 0.991
Se: 0.679 0.321 0.328
Se: 0.709 0.291 0.675
Se: 0.959 0.041 0.053

The following D(E_F) values (in states/eV/f.u.) correspond, in order, to the records above: 11.771, 14.123, 1.926, 1.000, 2.753, 6.355, 6.732, 2.160, 5.838, 0.101.